one | FeHCl2: optimized geometry, PBE-GGA.

CIF file:
```
data_FeHCl2
_cell_length_a 4.8992
_cell_length_b 4.8992
_cell_length_c 9.5588
_cell_angle_alpha 90.00
_cell_angle_beta 90.00
_cell_angle_gamma 90.00
_space_group_name_H-M_alt 'I -4 2 d'
_space_group_IT_number 122
_space_group_name_Hall 'I -4 2bw'
loop_
_atom_site_label
_atom_site_type_symbol
_atom_site_fract_x
_atom_site_fract_y
_atom_site_fract_z
Fe1 Fe 0.0000 0.0000 0.0000
H1 H 0.0000 0.0000 0.5000
Cl1 Cl 0.2270 0.2500 0.6250
```

=====

two | FeHCl2: optimized geometry, PBE-GGA.

CIF file:
```
data_FeHCl2
_cell_length_a 3.5865
_cell_length_b 3.5865
_cell_length_c 17.9971
_cell_angle_alpha 90.00
_cell_angle_beta 90.00
_cell_angle_gamma 120.00
_space_group_name_H-M_alt 'R -3 m'
_space_group_IT_number 166
_space_group_name_Hall '-R 3 2"'
loop_
_atom_site_label
_atom_site_type_symbol
_atom_site_fract_x
_atom_site_fract_y
_atom_site_fract_z
Fe1 Fe 0.0000 0.0000 0.0000
H1 H 0.0000 0.0000 0.5000
Cl1 Cl 0.0000 0.0000 0.4117
```

=====

three | FeHCl2: optimized geometry, PBE-GGA.

CIF file:
```
data_FeHCl2
_cell_length_a 6.2674
_cell_length_b 6.2674
_cell_length_c 6.2674
_cell_angle_alpha 90.00
_cell_angle_beta 90.00
_cell_angle_gamma 90.00
_space_group_name_H-M_alt 'F m -3 m'
_space_group_IT_number 225
_space_group_name_Hall '-F 4 2 3'
loop_
_atom_site_label
_atom_site_type_symbol
_atom_site_fract_x
_atom_site_fract_y
_atom_site_fract_z
Fe1 Fe 0.0000 0.0000 0.0000
H1 H 0.0000 0.0000 0.5000
Cl1 Cl 0.2500 0.2500 0.2500
```

=====

Most stable: two (next structure +398 meV/atom)

=====

one | FeH3Cl: optimized geometry, PBE-GGA.

CIF file:
```
data_FeH3Cl
_cell_length_a 3.5440
_cell_length_b 3.5440
_cell_length_c 3.5440
_cell_angle_alpha 90.00
_cell_angle_beta 90.00
_cell_angle_gamma 90.00
_space_group_name_H-M_alt 'P m -3 m'
_space_group_IT_number 221
_space_group_name_Hall '-P 4 2 3'
loop_
_atom_site_label
_atom_site_type_symbol
_atom_site_fract_x
_atom_site_fract_y
_atom_site_fract_z
Fe1 Fe 0.0000 0.0000 0.0000
H1 H 0.0000 0.0000 0.5000
Cl1 Cl 0.5000 0.5000 0.5000
```

=====

two | FeH3Cl: optimized geometry, PBE-GGA.

CIF file:
```
data_FeH3Cl
_cell_length_a 3.6894
_cell_length_b 3.6894
_cell_length_c 3.6894
_cell_angle_alpha 90.00
_cell_angle_beta 90.00
_cell_angle_gamma 90.00
_space_group_name_H-M_alt 'P m -3 m'
_space_group_IT_number 221
_space_group_name_Hall '-P 4 2 3'
loop_
_atom_site_label
_atom_site_type_symbol
_atom_site_fract_x
_atom_site_fract_y
_atom_site_fract_z
Fe1 Fe 0.0000 0.0000 0.0000
H1 H 0.0000 0.5000 0.5000
Cl1 Cl 0.5000 0.5000 0.5000
```

=====

Most stable: one (next structure +833 meV/atom)

=====

one | FePHCl2: optimized geometry, PBE-GGA.

CIF file:
```
data_FePHCl2
_cell_length_a 4.6707
_cell_length_b 4.6707
_cell_length_c 4.2415
_cell_angle_alpha 90.00
_cell_angle_beta 90.00
_cell_angle_gamma 90.00
_space_group_name_H-M_alt 'P 4/m m m'
_space_group_IT_number 123
_space_group_name_Hall '-P 4 2'
loop_
_atom_site_label
_atom_site_type_symbol
_atom_site_fract_x
_atom_site_fract_y
_atom_site_fract_z
Fe1 Fe 0.0000 0.0000 0.0000
P1 P 0.0000 0.0000 0.5000
H1 H 0.5000 0.5000 0.5000
Cl1 Cl 0.0000 0.5000 0.0000
```

=====

two | FePHCl2: optimized geometry, PBE-GGA.

CIF file:
```
data_FePHCl2
_cell_length_a 4.8616
_cell_length_b 4.8616
_cell_length_c 3.2437
_cell_angle_alpha 90.00
_cell_angle_beta 90.00
_cell_angle_gamma 90.00
_space_group_name_H-M_alt 'P 4/m m m'
_space_group_IT_number 123
_space_group_name_Hall '-P 4 2'
loop_
_atom_site_label
_atom_site_type_symbol
_atom_site_fract_x
_atom_site_fract_y
_atom_site_fract_z
Fe1 Fe 0.0000 0.0000 0.0000
P1 P 0.5000 0.5000 0.0000
H1 H 0.5000 0.5000 0.5000
Cl1 Cl 0.0000 0.5000 0.5000
```

=====

Most stable: one (next structure +115 meV/atom)

=====

one | FeP2HCl: optimized geometry, PBE-GGA.

CIF file:
```
data_FeP2HCl
_cell_length_a 4.2080
_cell_length_b 4.2080
_cell_length_c 5.1113
_cell_angle_alpha 90.00
_cell_angle_beta 90.00
_cell_angle_gamma 90.00
_space_group_name_H-M_alt 'P 4/m m m'
_space_group_IT_number 123
_space_group_name_Hall '-P 4 2'
loop_
_atom_site_label
_atom_site_type_symbol
_atom_site_fract_x
_atom_site_fract_y
_atom_site_fract_z
Fe1 Fe 0.0000 0.0000 0.0000
P1 P 0.0000 0.5000 0.0000
H1 H 0.5000 0.5000 0.5000
Cl1 Cl 0.0000 0.0000 0.5000
```

=====

two | FeP2HCl: optimized geometry, PBE-GGA.

CIF file:
```
data_FeP2HCl
_cell_length_a 3.5303
_cell_length_b 3.5303
_cell_length_c 5.9613
_cell_angle_alpha 90.00
_cell_angle_beta 90.00
_cell_angle_gamma 90.00
_space_group_name_H-M_alt 'P 4/m m m'
_space_group_IT_number 123
_space_group_name_Hall '-P 4 2'
loop_
_atom_site_label
_atom_site_type_symbol
_atom_site_fract_x
_atom_site_fract_y
_atom_site_fract_z
Fe1 Fe 0.0000 0.0000 0.0000
P1 P 0.0000 0.5000 0.5000
H1 H 0.5000 0.5000 0.5000
Cl1 Cl 0.5000 0.5000 0.0000
```

=====

Most stable: two (next structure +43 meV/atom)

=====

one | Hf2FeCl: optimized geometry, PBE-GGA.

CIF file:
```
data_Hf2FeCl
_cell_length_a 6.5011
_cell_length_b 6.5011
_cell_length_c 6.5011
_cell_angle_alpha 90.00
_cell_angle_beta 90.00
_cell_angle_gamma 90.00
_space_group_name_H-M_alt 'F m -3 m'
_space_group_IT_number 225
_space_group_name_Hall '-F 4 2 3'
loop_
_atom_site_label
_atom_site_type_symbol
_atom_site_fract_x
_atom_site_fract_y
_atom_site_fract_z
Hf1 Hf 0.2500 0.2500 0.2500
Fe1 Fe 0.0000 0.0000 0.0000
Cl1 Cl 0.0000 0.0000 0.5000
```

=====

two | Hf2FeCl: optimized geometry, PBE-GGA.

CIF file:
```
data_Hf2FeCl
_cell_length_a 5.5243
_cell_length_b 5.5243
_cell_length_c 12.2858
_cell_angle_alpha 90.00
_cell_angle_beta 90.00
_cell_angle_gamma 90.00
_space_group_name_H-M_alt 'I -4 2 d'
_space_group_IT_number 122
_space_group_name_Hall 'I -4 2bw'
loop_
_atom_site_label
_atom_site_type_symbol
_atom_site_fract_x
_atom_site_fract_y
_atom_site_fract_z
Hf1 Hf 0.1952 0.2500 0.1250
Fe1 Fe 0.0000 0.0000 0.0000
Cl1 Cl 0.0000 0.0000 0.5000
```

=====

Most stable: one (next structure +157 meV/atom)

=====

one | HfFeP2Cl: optimized geometry, PBE-GGA.

CIF file:
```
data_HfFeP2Cl
_cell_length_a 5.0165
_cell_length_b 5.0165
_cell_length_c 4.8365
_cell_angle_alpha 90.00
_cell_angle_beta 90.00
_cell_angle_gamma 90.00
_space_group_name_H-M_alt 'P 4/m m m'
_space_group_IT_number 123
_space_group_name_Hall '-P 4 2'
loop_
_atom_site_label
_atom_site_type_symbol
_atom_site_fract_x
_atom_site_fract_y
_atom_site_fract_z
Hf1 Hf 0.0000 0.0000 0.0000
Fe1 Fe 0.5000 0.5000 0.5000
P1 P 0.0000 0.5000 0.0000
Cl1 Cl 0.0000 0.0000 0.5000
```

=====

two | HfFeP2Cl: optimized geometry, PBE-GGA.

CIF file:
```
data_HfFeP2Cl
_cell_length_a 4.3827
_cell_length_b 4.3827
_cell_length_c 4.5298
_cell_angle_alpha 90.00
_cell_angle_beta 90.00
_cell_angle_gamma 90.00
_space_group_name_H-M_alt 'P 4/m m m'
_space_group_IT_number 123
_space_group_name_Hall '-P 4 2'
loop_
_atom_site_label
_atom_site_type_symbol
_atom_site_fract_x
_atom_site_fract_y
_atom_site_fract_z
Hf1 Hf 0.0000 0.0000 0.0000
Fe1 Fe 0.5000 0.5000 0.5000
P1 P 0.0000 0.5000 0.5000
Cl1 Cl 0.5000 0.5000 0.0000
```

=====

Most stable: two (next structure +139 meV/atom)

=====

one | HfFeSCl2: optimized geometry, PBE-GGA.

CIF file:
```
data_HfFeSCl2
_cell_length_a 4.3761
_cell_length_b 4.3761
_cell_length_c 4.5827
_cell_angle_alpha 90.00
_cell_angle_beta 90.00
_cell_angle_gamma 90.00
_space_group_name_H-M_alt 'P 4/m m m'
_space_group_IT_number 123
_space_group_name_Hall '-P 4 2'
loop_
_atom_site_label
_atom_site_type_symbol
_atom_site_fract_x
_atom_site_fract_y
_atom_site_fract_z
Hf1 Hf 0.0000 0.0000 0.0000
Fe1 Fe 0.5000 0.5000 0.5000
S1 S 0.5000 0.5000 0.0000
Cl1 Cl 0.0000 0.5000 0.5000
```

=====

two | HfFeSCl2: optimized geometry, PBE-GGA.

CIF file:
```
data_HfFeSCl2
_cell_length_a 5.0038
_cell_length_b 5.0038
_cell_length_c 4.9324
_cell_angle_alpha 90.00
_cell_angle_beta 90.00
_cell_angle_gamma 90.00
_space_group_name_H-M_alt 'P 4/m m m'
_space_group_IT_number 123
_space_group_name_Hall '-P 4 2'
loop_
_atom_site_label
_atom_site_type_symbol
_atom_site_fract_x
_atom_site_fract_y
_atom_site_fract_z
Hf1 Hf 0.0000 0.0000 0.0000
Fe1 Fe 0.5000 0.5000 0.5000
S1 S 0.0000 0.0000 0.5000
Cl1 Cl 0.0000 0.5000 0.0000
```

=====

Most stable: two (next structure +386 meV/atom)

=====

one | FeHgCl2: optimized geometry, PBE-GGA.

CIF file:
```
data_FeHgCl2
_cell_length_a 6.9775
_cell_length_b 6.9775
_cell_length_c 6.9775
_cell_angle_alpha 90.00
_cell_angle_beta 90.00
_cell_angle_gamma 90.00
_space_group_name_H-M_alt 'F -4 3 m'
_space_group_IT_number 216
_space_group_name_Hall 'F -4 2 3'
loop_
_atom_site_label
_atom_site_type_symbol
_atom_site_fract_x
_atom_site_fract_y
_atom_site_fract_z
Fe1 Fe 0.0000 0.0000 0.0000
Hg1 Hg 0.2500 0.2500 0.7500
Cl1 Cl 0.0000 0.0000 0.5000
Cl2 Cl 0.2500 0.2500 0.2500
```

=====

two | FeHgCl2: optimized geometry, PBE-GGA.

CIF file:
```
data_FeHgCl2
_cell_length_a 12.5780
_cell_length_b 3.3406
_cell_length_c 6.4246
_cell_angle_alpha 90.00
_cell_angle_beta 120.61
_cell_angle_gamma 90.00
_space_group_name_H-M_alt 'C 1 m 1'
_space_group_IT_number 8
loop_
_space_group_symop_operation_xyz
'x,y,z'
'x,-y,z'
'x+1/2,y+1/2,z'
'x+1/2,-y+1/2,z'
loop_
_atom_site_label
_atom_site_type_symbol
_atom_site_fract_x
_atom_site_fract_y
_atom_site_fract_z
Fe1 Fe 0.0000 0.0000 0.0000
Hg1 Hg 0.2314 0.0000 0.4688
Cl1 Cl 0.0691 0.5000 0.8373
Cl2 Cl 0.4118 0.0000 0.1243
```

=====

three | FeHgCl2: optimized geometry, PBE-GGA.

CIF file:
```
data_FeHgCl2
_cell_length_a 3.3958
_cell_length_b 3.3958
_cell_length_c 24.5034
_cell_angle_alpha 90.00
_cell_angle_beta 90.00
_cell_angle_gamma 120.00
_space_group_name_H-M_alt 'R 3 m'
_space_group_IT_number 160
_space_group_name_Hall 'R 3 -2"'
loop_
_atom_site_label
_atom_site_type_symbol
_atom_site_fract_x
_atom_site_fract_y
_atom_site_fract_z
Fe1 Fe 0.0000 0.0000 0.0000
Hg1 Hg 0.0000 0.0000 0.7457
Cl1 Cl 0.0000 0.0000 0.2899
Cl2 Cl 0.0000 0.0000 0.4893
```

=====

Most stable: two (next structure +311 meV/atom)